First-principles (PBEsol) data for SbAsPtSe2 after structural relaxation, as listed in Alexandria.

M_tot: 0.00 μB/f.u.
total DFT energy (no corrections): -22.47 eV per formula unit
formation energy (no corrections): 0.372 eV/atom
Fermi-level density of states: 0.76 states/eV/atom

```
data_SbAsPtSe2
_chemical_formula_sum 'Sb1 As1 Pt1 Se2'
_space_group_name_H-M_alt 'P 4/m m m'
_space_group_IT_number 123
_space_group_name_Hall '-P 4 2'
_cell_length_a 5.0192
_cell_length_b 5.0192
_cell_length_c 4.6561
_cell_angle_alpha 90.00
_cell_angle_beta 90.00
_cell_angle_gamma 90.00
loop_
_atom_site_label
_atom_site_type_symbol
_atom_site_fract_x
_atom_site_fract_y
_atom_site_fract_z
Sb1 Sb 0.0000 0.0000 0.0000
As1 As 0.5000 0.5000 0.0000
Pt1 Pt 0.5000 0.5000 0.5000
Se1 Se 0.0000 0.5000 0.5000
```


First-principles (PBEsol) data for Sb2TeAsPt after structural relaxation, as listed in Alexandria.

M_tot: 0.00 μB/f.u.
total DFT energy (no corrections): -21.87 eV per formula unit
formation energy (no corrections): 0.568 eV/atom
Fermi-level density of states: 0.89 states/eV/atom

```
data_Sb2TeAsPt
_chemical_formula_sum 'Sb2 Te1 As1 Pt1'
_space_group_name_H-M_alt 'P 4/m m m'
_space_group_IT_number 123
_space_group_name_Hall '-P 4 2'
_cell_length_a 5.1054
_cell_length_b 5.1054
_cell_length_c 5.3326
_cell_angle_alpha 90.00
_cell_angle_beta 90.00
_cell_angle_gamma 90.00
loop_
_atom_site_label
_atom_site_type_symbol
_atom_site_fract_x
_atom_site_fract_y
_atom_site_fract_z
Sb1 Sb 0.0000 0.5000 0.0000
Te1 Te 0.0000 0.0000 0.5000
As1 As 0.5000 0.5000 0.5000
Pt1 Pt 0.0000 0.0000 0.0000
```